1.
Here is a relaxed KBa4Ta3O12 crystal from the Alexandria database. Energies are from PBE-GGA.

The structure in CIF format:
```
data_KBa4Ta3O12
_symmetry_space_group_name_H-M 'P 1'
_symmetry_Int_Tables_number 1
_symmetry_space_group_name_Hall 'P 1'
_cell_length_a 7.3806
_cell_length_b 7.3806
_cell_length_c 7.3806
_cell_angle_alpha 109.47
_cell_angle_beta 109.47
_cell_angle_gamma 109.47
loop_
_atom_site_label
_atom_site_type_symbol
_atom_site_fract_x
_atom_site_fract_y
_atom_site_fract_z
_atom_site_occupancy
K1 K 0.0000 0.0000 0.0000 1
Ba1 Ba 0.0000 0.0000 0.5000 1
Ba2 Ba 0.0000 0.5000 0.0000 1
Ba3 Ba 0.5000 0.0000 0.0000 1
Ba4 Ba 0.5000 0.5000 0.5000 1
Ta1 Ta 0.0000 0.5000 0.5000 1
Ta2 Ta 0.5000 0.0000 0.5000 1
Ta3 Ta 0.5000 0.5000 0.0000 1
O1 O 0.0000 0.2784 0.2784 1
O2 O 0.0000 0.7216 0.7216 1
O3 O 0.2500 0.5000 0.7500 1
O4 O 0.2500 0.7500 0.5000 1
O5 O 0.2784 0.0000 0.2784 1
O6 O 0.2784 0.2784 0.0000 1
O7 O 0.5000 0.2500 0.7500 1
O8 O 0.5000 0.7500 0.2500 1
O9 O 0.7216 0.0000 0.7216 1
O10 O 0.7216 0.7216 0.0000 1
O11 O 0.7500 0.2500 0.5000 1
O12 O 0.7500 0.5000 0.2500 1
```

Values from the calculation:
As for the space group: Im-3m (229). The uncorrected formation energy comes out at -2.78 eV per atom. For the total energy, the calculation gives -159.43 eV for the cell shown.

---

2.
Here is a relaxed CaHfOs2 crystal from the Alexandria database. Energies are from PBE-GGA.

The structure in CIF format:
```
data_CaHfOs2
_symmetry_space_group_name_H-M 'P 1'
_symmetry_Int_Tables_number 1
_symmetry_space_group_name_Hall 'P 1'
_cell_length_a 10.1567
_cell_length_b 4.9469
_cell_length_c 7.3710
_cell_angle_alpha 90.00
_cell_angle_beta 116.04
_cell_angle_gamma 90.00
loop_
_atom_site_label
_atom_site_type_symbol
_atom_site_fract_x
_atom_site_fract_y
_atom_site_fract_z
_atom_site_occupancy
Ca1 Ca 0.1886 0.0000 0.3167 1
Ca2 Ca 0.3114 0.5000 0.6833 1
Ca3 Ca 0.6886 0.5000 0.3167 1
Ca4 Ca 0.8114 0.0000 0.6833 1
Hf1 Hf 0.1749 0.0000 0.8650 1
Hf2 Hf 0.3251 0.5000 0.1350 1
Hf3 Hf 0.6749 0.5000 0.8650 1
Hf4 Hf 0.8251 0.0000 0.1350 1
Os1 Os 0.0000 0.2514 0.5000 1
Os2 Os 0.0000 0.7486 0.5000 1
Os3 Os 0.0451 0.5000 0.8624 1
Os4 Os 0.4549 0.0000 0.1376 1
Os5 Os 0.5000 0.2486 0.5000 1
Os6 Os 0.5000 0.7514 0.5000 1
Os7 Os 0.5451 0.0000 0.8624 1
Os8 Os 0.9549 0.5000 0.1376 1
```

Values from the calculation:
The calculated formation energy is -3.9 kJ per mole of atoms. As for the space group: C2/m (12). For the total energy, the calculation gives -138.31 eV for the cell shown.

---

3.
Here is a relaxed Pm2PrHgC crystal from the Alexandria database. Energies are from PBE-GGA.

The structure in CIF format:
```
data_Pm2PrHgC
_symmetry_space_group_name_H-M 'P 1'
_symmetry_Int_Tables_number 1
_symmetry_space_group_name_Hall 'P 1'
_cell_length_a 7.2186
_cell_length_b 7.2186
_cell_length_c 7.2186
_cell_angle_alpha 120.93
_cell_angle_beta 120.93
_cell_angle_gamma 88.40
loop_
_atom_site_label
_atom_site_type_symbol
_atom_site_fract_x
_atom_site_fract_y
_atom_site_fract_z
_atom_site_occupancy
Pm1 Pm 0.1934 0.6934 0.8868 1
Pm2 Pm 0.3066 0.1934 0.5000 1
Pm3 Pm 0.6934 0.8066 0.5000 1
Pm4 Pm 0.8066 0.3066 0.1132 1
Pr1 Pr 0.2500 0.2500 0.0000 1
Pr2 Pr 0.7500 0.7500 0.0000 1
Hg1 Hg 0.2500 0.7500 0.5000 1
Hg2 Hg 0.7500 0.2500 0.5000 1
C1 C 0.0000 0.0000 0.0000 1
C2 C 0.5000 0.5000 0.0000 1
```

Values from the calculation:
The calculated formation energy is -24.7 kJ per mole of atoms. As for the space group: I4/mcm (140). For the total energy, the calculation gives -50.18 eV for the cell shown.

---

4.
Here is a relaxed PuCdPb6 crystal from the Alexandria database. Energies are from PBE-GGA.

The structure in CIF format:
```
data_PuCdPb6
_symmetry_space_group_name_H-M 'P 1'
_symmetry_Int_Tables_number 1
_symmetry_space_group_name_Hall 'P 1'
_cell_length_a 7.2035
_cell_length_b 11.3976
_cell_length_c 5.7674
_cell_angle_alpha 90.00
_cell_angle_beta 90.00
_cell_angle_gamma 90.00
loop_
_atom_site_label
_atom_site_type_symbol
_atom_site_fract_x
_atom_site_fract_y
_atom_site_fract_z
_atom_site_occupancy
Pu1 Pu 0.0000 0.0000 0.0000 1
Pu2 Pu 0.5000 0.5000 0.0000 1
Cd1 Cd 0.0000 0.5000 0.0000 1
Cd2 Cd 0.5000 0.0000 0.0000 1
Pb1 Pb 0.0000 0.2325 0.5000 1
Pb2 Pb 0.0000 0.7675 0.5000 1
Pb3 Pb 0.2334 0.5000 0.5000 1
Pb4 Pb 0.2500 0.2500 0.0000 1
Pb5 Pb 0.2500 0.7500 0.0000 1
Pb6 Pb 0.2666 0.0000 0.5000 1
Pb7 Pb 0.5000 0.2675 0.5000 1
Pb8 Pb 0.5000 0.7325 0.5000 1
Pb9 Pb 0.7334 0.0000 0.5000 1
Pb10 Pb 0.7500 0.2500 0.0000 1
Pb11 Pb 0.7500 0.7500 0.0000 1
Pb12 Pb 0.7666 0.5000 0.5000 1
```

Values from the calculation:
The calculated formation energy is -0.6 kJ per mole of atoms. As for the space group: Cmmm (65). For the total energy, the calculation gives -75.10 eV for the cell shown.

---

5.
Here is a relaxed Cs3Pr2PbSe6 crystal from the Alexandria database. Energies are from PBE-GGA.

The structure in CIF format:
```
data_Cs3Pr2PbSe6
_symmetry_space_group_name_H-M 'P 1'
_symmetry_Int_Tables_number 1
_symmetry_space_group_name_Hall 'P 1'
_cell_length_a 7.6838
_cell_length_b 7.6838
_cell_length_c 8.7963
_cell_angle_alpha 98.35
_cell_angle_beta 98.35
_cell_angle_gamma 120.00
loop_
_atom_site_label
_atom_site_type_symbol
_atom_site_fract_x
_atom_site_fract_y
_atom_site_fract_z
_atom_site_occupancy
Cs1 Cs 0.0000 0.0000 0.0000 1
Cs2 Cs 0.3350 0.6650 0.0000 1
Cs3 Cs 0.6650 0.3350 0.0000 1
Pr1 Pr 0.1669 0.8331 0.5000 1
Pr2 Pr 0.8331 0.1669 0.5000 1
Pb1 Pb 0.5000 0.5000 0.5000 1
Se1 Se 0.0994 0.4357 0.3072 1
Se2 Se 0.2277 0.2277 0.6924 1
Se3 Se 0.4357 0.0994 0.3072 1
Se4 Se 0.5643 0.9006 0.6928 1
Se5 Se 0.7723 0.7723 0.3076 1
Se6 Se 0.9006 0.5643 0.6928 1
```

Values from the calculation:
As for the space group: C2/m (12). The uncorrected formation energy comes out at -1.36 eV per atom. For the total energy, the calculation gives -53.03 eV for the cell shown.

---

6.
Here is a relaxed BaHfU2S8 crystal from the Alexandria database. Energies are from PBE-GGA.

The structure in CIF format:
```
data_BaHfU2S8
_symmetry_space_group_name_H-M 'P 1'
_symmetry_Int_Tables_number 1
_symmetry_space_group_name_Hall 'P 1'
_cell_length_a 6.0731
_cell_length_b 8.3518
_cell_length_c 6.3868
_cell_angle_alpha 90.00
_cell_angle_beta 91.69
_cell_angle_gamma 90.00
loop_
_atom_site_label
_atom_site_type_symbol
_atom_site_fract_x
_atom_site_fract_y
_atom_site_fract_z
_atom_site_occupancy
Ba1 Ba 0.0000 0.0000 0.0000 1
Hf1 Hf 0.0000 0.5000 0.0000 1
U1 U 0.5000 0.2560 0.5000 1
U2 U 0.5000 0.7440 0.5000 1
S1 S 0.2463 0.2936 0.1702 1
S2 S 0.2463 0.7064 0.1702 1
S3 S 0.2704 0.5000 0.6694 1
S4 S 0.2765 0.0000 0.6095 1
S5 S 0.7235 0.0000 0.3905 1
S6 S 0.7296 0.5000 0.3306 1
S7 S 0.7537 0.2936 0.8298 1
S8 S 0.7537 0.7064 0.8298 1
```

Values from the calculation:
As for the space group: P2/m (10). The uncorrected formation energy comes out at -1.34 eV per atom. For the total energy, the calculation gives -83.54 eV for the cell shown.

---

7.
Here is a relaxed Pr2Cd3Pd4 crystal from the Alexandria database. Energies are from PBE-GGA.

The structure in CIF format:
```
data_Pr2Cd3Pd4
_symmetry_space_group_name_H-M 'P 1'
_symmetry_Int_Tables_number 1
_symmetry_space_group_name_Hall 'P 1'
_cell_length_a 9.1599
_cell_length_b 9.1599
_cell_length_c 7.6266
_cell_angle_alpha 90.00
_cell_angle_beta 90.00
_cell_angle_gamma 142.84
loop_
_atom_site_label
_atom_site_type_symbol
_atom_site_fract_x
_atom_site_fract_y
_atom_site_fract_z
_atom_site_occupancy
Pr1 Pr 0.1069 0.8931 0.9191 1
Pr2 Pr 0.3931 0.6069 0.4191 1
Pr3 Pr 0.6069 0.3931 0.5809 1
Pr4 Pr 0.8931 0.1069 0.0809 1
Cd1 Cd 0.0000 0.0000 0.5000 1
Cd2 Cd 0.0154 0.4846 0.7500 1
Cd3 Cd 0.4846 0.0154 0.2500 1
Cd4 Cd 0.5000 0.5000 0.0000 1
Cd5 Cd 0.5154 0.9846 0.7500 1
Cd6 Cd 0.9846 0.5154 0.2500 1
Pd1 Pd 0.1628 0.8372 0.5259 1
Pd2 Pd 0.1772 0.3228 0.7500 1
Pd3 Pd 0.3228 0.1772 0.2500 1
Pd4 Pd 0.3372 0.6628 0.0259 1
Pd5 Pd 0.6628 0.3372 0.9741 1
Pd6 Pd 0.6772 0.8228 0.7500 1
Pd7 Pd 0.8228 0.6772 0.2500 1
Pd8 Pd 0.8372 0.1628 0.4741 1
```

Values from the calculation:
The calculated formation energy is -56.0 kJ per mole of atoms. As for the space group: Cmce (64). For the total energy, the calculation gives -76.60 eV for the cell shown.

---

8.
Here is a relaxed BaNiTe2N crystal from the Alexandria database. Energies are from PBE-GGA.

The structure in CIF format:
```
data_BaNiTe2N
_symmetry_space_group_name_H-M 'P 1'
_symmetry_Int_Tables_number 1
_symmetry_space_group_name_Hall 'P 1'
_cell_length_a 5.8743
_cell_length_b 5.8743
_cell_length_c 3.5716
_cell_angle_alpha 90.00
_cell_angle_beta 90.00
_cell_angle_gamma 90.00
loop_
_atom_site_label
_atom_site_type_symbol
_atom_site_fract_x
_atom_site_fract_y
_atom_site_fract_z
_atom_site_occupancy
Ba1 Ba 0.0000 0.0000 0.0000 1
Ni1 Ni 0.5000 0.5000 0.5000 1
Te1 Te 0.0000 0.5000 0.5000 1
Te2 Te 0.5000 0.0000 0.5000 1
N1 N 0.5000 0.5000 0.0000 1
```

Values from the calculation:
As for the space group: P4/mmm (123). The uncorrected formation energy comes out at -0.15 eV per atom. For the total energy, the calculation gives -23.04 eV for the cell shown.

---

Question: Number 3 is which compound?
Answer: Pm2PrHgC